A geometry-optimized Tm6IrRu structure, computed with GGA-PBE.

a b c (Å): 6.313 6.313 6.644
angles (deg): 99.03 99.03 116.40
Fractional positions:
Tm: 0.074 0.417 0.247
Tm: 0.252 0.252 0.754
Tm: 0.417 0.074 0.247
Tm: 0.583 0.926 0.753
Tm: 0.748 0.748 0.246
Tm: 0.926 0.583 0.753
Ir: 0.500 0.500 0.500
Ru: 0.000 0.000 0.000

Energy of formation from the pure elements   -0.341 eV per atom
Space group   C2/m, No. 12

---

A geometry-optimized Hf3PaN4 structure, computed with GGA-PBE.

a b c (Å): 4.644 7.705 6.601
angles (deg): 90.00 90.00 90.00
Fractional positions:
Hf: 0.250 0.002 0.170
Hf: 0.250 0.498 0.170
Hf: 0.250 0.750 0.681
Hf: 0.750 0.250 0.319
Hf: 0.750 0.502 0.830
Hf: 0.750 0.998 0.830
Pa: 0.250 0.250 0.651
Pa: 0.750 0.750 0.349
N: 0.250 0.250 0.301
N: 0.250 0.502 0.846
N: 0.250 0.750 0.331
N: 0.250 0.998 0.846
N: 0.750 0.002 0.154
N: 0.750 0.250 0.669
N: 0.750 0.498 0.154
N: 0.750 0.750 0.699

Energy relative to the lowest polymorph listed for this composition   196 meV per atom
Space group   Pmmn, No. 59
ΔE_f (raw)   -1499 meV/atom

---

A geometry-optimized PmPuNbN3 structure, computed with GGA-PBE.

a b c (Å): 7.237 3.407 8.019
angles (deg): 90.00 92.49 90.00
Fractional positions:
Pm: 0.142 0.250 0.170
Pm: 0.858 0.750 0.830
Pu: 0.375 0.750 0.848
Pu: 0.625 0.250 0.152
Nb: 0.131 0.250 0.577
Nb: 0.869 0.750 0.423
N: 0.133 0.250 0.845
N: 0.169 0.750 0.429
N: 0.401 0.750 0.114
N: 0.599 0.250 0.886
N: 0.831 0.250 0.571
N: 0.867 0.750 0.155

Space group   P2_1/m, No. 11
ΔE_f (raw)   -982 meV/atom

---

A geometry-optimized V2FeBr structure, computed with GGA-PBE.

a b c (Å): 6.614 6.614 6.614
angles (deg): 130.58 130.58 72.48
Fractional positions:
V: 0.071 0.625 0.946
V: 0.375 0.321 0.446
V: 0.679 0.125 0.054
V: 0.875 0.929 0.554
Fe: 0.000 0.000 0.000
Fe: 0.750 0.250 0.500
Br: 0.250 0.750 0.500
Br: 0.500 0.500 0.000

Space group   I-42d, No. 122
ΔE_f (raw)   750 meV/atom

---

A geometry-optimized Dy2SeCl structure, computed with GGA-PBE.

a b c (Å): 7.665 7.665 7.665
angles (deg): 29.46 29.46 29.46
Fractional positions:
Dy: 0.240 0.240 0.240
Dy: 0.760 0.760 0.760
Se: 0.500 0.500 0.500
Cl: 0.000 0.000 0.000

Energy relative to the lowest polymorph listed for this composition   4 meV per atom
Space group   R-3m, No. 166
ΔE_f (raw)   -1394 meV/atom

---

A geometry-optimized Rb3BePb structure, computed with GGA-PBE.

a b c (Å): 6.547 6.547 6.547
angles (deg): 90.00 90.00 90.00
Fractional positions:
Rb: 0.000 0.000 0.500
Rb: 0.000 0.500 0.000
Rb: 0.500 0.000 0.000
Be: 0.000 0.000 0.000
Pb: 0.500 0.500 0.500

Energy relative to the lowest polymorph listed for this composition   0 meV per atom
Energy of formation from the pure elements   0.663 eV per atom
Space group   Pm-3m, No. 221

---

| no. | volume (Å³/atom) |
| --- | --- |
| 1 | 28.30 |
| 2 | 14.76 |
| 3 | 16.46 |
| 4 | 20.39 |
| 5 | 24.10 |
| 6 | 56.12 |